Entry from Alexandria via LeMat-Bulk: a geometry-optimized SrCuSe2O structure (PBE).

Structure (POSCAR):
```
SrCuSe2O
1.0
-1.4003 -4.4088 3.6026
-3.5787 -2.2698 -4.1687
4.4673 -3.1508 -2.1195
Cu O Sr Se
1 1 1 2
direct
0.0000 0.5000 0.0000 Cu
0.5000 0.5000 0.5000 O
0.0000 0.0000 0.0000 Sr
0.5000 0.0000 0.0000 Se
0.0000 0.0000 0.5000 Se
```

Calculated values
Uncorrected energy = -2.550 eV/atom
Formation energy (no corrections) = 991 meV per atom
Total moment = 0.798 μB/atom


Entry from Alexandria via LeMat-Bulk: a geometry-optimized Sr2CuSe3O9 structure (PBE).

Structure (POSCAR):
```
Sr2CuSe3O9
1.0
-3.5621 -4.4940 -4.5548
5.7475 -5.0463 1.9688
-4.8536 0.2219 7.3039
O Sr Se Cu
18 4 6 2
direct
0.8152 0.3968 0.0572 O
0.0575 0.8189 0.1589 O
0.8474 0.9989 0.3584 O
0.2232 0.4066 0.5903 O
0.8746 0.7515 0.8335 O
0.3378 0.2979 0.8803 O
0.8293 0.3775 0.6207 O
0.7768 0.5934 0.4097 O
0.6622 0.7021 0.1197 O
0.4710 0.7014 0.6485 O
0.1526 0.0011 0.6416 O
0.1707 0.6225 0.3793 O
0.5290 0.2986 0.3515 O
0.4844 0.8707 0.3180 O
0.1848 0.6032 0.9428 O
0.5156 0.1293 0.6820 O
0.1254 0.2485 0.1665 O
0.9425 0.1811 0.8411 O
0.3756 0.5156 0.1926 Sr
0.7589 0.9099 0.6093 Sr
0.2411 0.0901 0.3907 Sr
0.6244 0.4844 0.8074 Sr
0.3650 0.0816 0.7953 Se
0.7733 0.3687 0.4131 Se
0.1002 0.7980 0.9701 Se
0.6350 0.9184 0.2047 Se
0.8998 0.2020 0.0299 Se
0.2267 0.6313 0.5869 Se
0.9150 0.6598 0.2531 Cu
0.0850 0.3402 0.7469 Cu
```

Calculated values
Uncorrected energy = -5.663 eV/atom
Formation energy (no corrections) = -1494 meV per atom
Total moment = 0.064 μB/atom


Entry from Alexandria via LeMat-Bulk: a geometry-optimized TaCuSeO5 structure (PBE).

Structure (POSCAR):
```
TaCuSeO5
1.0
0.3882 -2.0373 -5.6804
-4.4505 -2.5416 3.2095
-1.7947 7.5821 -0.5467
O Ta Se Cu
10 2 2 2
direct
0.0154 0.3462 0.1157 O
0.5911 0.8140 0.9172 O
0.8140 0.5911 0.4172 O
0.3462 0.0154 0.6157 O
0.4089 0.1860 0.0828 O
0.9671 0.0329 0.7500 O
0.1860 0.4089 0.5828 O
0.9846 0.6538 0.8843 O
0.6538 0.9846 0.3843 O
0.0329 0.9671 0.2500 O
0.0000 0.0000 0.5000 Ta
0.0000 0.0000 0.0000 Ta
0.2771 0.7229 0.7500 Se
0.7229 0.2771 0.2500 Se
0.6850 0.3150 0.7500 Cu
0.3150 0.6850 0.2500 Cu
```

Calculated values
Uncorrected energy = -6.917 eV/atom
Formation energy (no corrections) = -1389 meV per atom
Total moment = 0.000 μB/atom